# GGA-PBE Np2Si3Ir4Pt, relaxed
# **Calculated volume**: 17.30 Å³/atom
# **Crystal system**: tetragonal
# **DOS(E_F)**: 19.2 states/eV/f.u.
# **Density**: 14.61 g/cm3
# **Formation energy from raw total energies**: -6.21 eV per formula unit
data_Np2Si3Ir4Pt
_cell_length_a 3.9716
_cell_length_b 3.9716
_cell_length_c 10.9649
_cell_angle_alpha 90.00
_cell_angle_beta 90.00
_cell_angle_gamma 90.00
_symmetry_space_group_name_H-M 'P -4 m 2'
_symmetry_Int_Tables_number 115
loop_
_symmetry_equiv_pos_as_xyz
'x,y,z'
'y,-x,-z'
'-x,-y,z'
'-y,x,-z'
'-x,y,z'
'-y,-x,-z'
'x,-y,z'
'y,x,-z'
loop_
_atom_site_label
_atom_site_type_symbol
_atom_site_fract_x
_atom_site_fract_y
_atom_site_fract_z
Np1 Np 0.0000 0.5000 0.2432
Si1 Si 0.0000 0.0000 0.0000
Si2 Si 0.0000 0.5000 0.6202
Ir1 Ir 0.0000 0.0000 0.5000
Ir2 Ir 0.0000 0.5000 0.8317
Ir3 Ir 0.5000 0.5000 0.5000
Pt1 Pt 0.5000 0.5000 0.0000



# GGA-PBE CeTlIn2Cl6, relaxed
# **Calculated volume**: 36.60 Å³/atom
# **Crystal system**: trigonal
# **DOS(E_F)**: 8.2 states/eV/f.u.
# **Density**: 3.57 g/cm3
# **Formation energy from raw total energies**: -14.23 eV per formula unit
data_CeTlIn2Cl6
_cell_length_a 7.9338
_cell_length_b 7.9338
_cell_length_c 20.1434
_cell_angle_alpha 90.00
_cell_angle_beta 90.00
_cell_angle_gamma 120.00
_symmetry_space_group_name_H-M 'R 3'
_symmetry_Int_Tables_number 146
_symmetry_space_group_name_Hall 'R 3'
loop_
_atom_site_label
_atom_site_type_symbol
_atom_site_fract_x
_atom_site_fract_y
_atom_site_fract_z
Ce1 Ce 0.0000 0.0000 0.0000
Tl1 Tl 0.0000 0.0000 0.5095
In1 In 0.0000 0.0000 0.3001
In2 In 0.0000 0.0000 0.7936
Cl1 Cl 0.0088 0.3963 0.7352
Cl2 Cl 0.0702 0.6766 0.5764



# GGA-PBE Sm7Tm4Sc, relaxed
# **ΔE_f**: 1.66 eV per formula unit
# **Calculated volume**: 32.26 Å³/atom
# **Crystal system**: monoclinic
# **DOS(E_F)**: 22.7 states/eV/f.u.
# **Density**: 7.61 g/cm3
# **E above lowest polymorph**: 0.0 meV per atom
data_Sm7Tm4Sc
_cell_length_a 18.4191
_cell_length_b 7.0174
_cell_length_c 6.0003
_cell_angle_alpha 90.00
_cell_angle_beta 93.35
_cell_angle_gamma 90.00
_symmetry_space_group_name_H-M 'C 1 2/m 1'
_symmetry_Int_Tables_number 12
loop_
_symmetry_equiv_pos_as_xyz
'x,y,z'
'-x,-y,-z'
'-x,y,-z'
'x,-y,z'
'x+1/2,y+1/2,z'
'-x+1/2,-y+1/2,-z'
'-x+1/2,y+1/2,-z'
'x+1/2,-y+1/2,z'
loop_
_atom_site_label
_atom_site_type_symbol
_atom_site_fract_x
_atom_site_fract_y
_atom_site_fract_z
Sm1 Sm 0.0000 0.0000 0.0000
Sm2 Sm 0.0345 0.5000 0.2598
Sm3 Sm 0.1886 0.0000 0.2619
Sm4 Sm 0.2104 0.5000 0.2130
Tm1 Tm 0.1346 0.2650 0.7254
Sc1 Sc 0.0000 0.0000 0.5000



# GGA-PBE MnSb2Pt, relaxed
# **Calculated volume**: 21.85 Å³/atom
# **Crystal system**: tetragonal
# **DOS(E_F)**: 2.5 states/eV/f.u.
# **Density**: 9.38 g/cm3
# **E above lowest polymorph**: 64.8 meV per atom
# **Formation energy from raw total energies**: -0.40 eV per formula unit
data_MnSb2Pt
_cell_length_a 3.3878
_cell_length_b 3.3878
_cell_length_c 7.6148
_cell_angle_alpha 90.00
_cell_angle_beta 90.00
_cell_angle_gamma 90.00
_symmetry_space_group_name_H-M 'P 4 m m'
_symmetry_Int_Tables_number 99
loop_
_symmetry_equiv_pos_as_xyz
'x,y,z'
'-y,x,z'
'-x,-y,z'
'y,-x,z'
'-x,y,z'
'y,x,z'
'x,-y,z'
'-y,-x,z'
loop_
_atom_site_label
_atom_site_type_symbol
_atom_site_fract_x
_atom_site_fract_y
_atom_site_fract_z
Mn1 Mn 0.0000 0.0000 0.0000
Sb1 Sb 0.0000 0.0000 0.3831
Sb2 Sb 0.5000 0.5000 0.7927
Pt1 Pt 0.5000 0.5000 0.1790



# GGA-PBE NaLaTa2Mn, relaxed
# **ΔE_f**: 10.45 eV per formula unit
# **Calculated volume**: 23.08 Å³/atom
# **Crystal system**: tetragonal
# **DOS(E_F)**: 5.8 states/eV/f.u.
# **Density**: 8.33 g/cm3
data_NaLaTa2Mn
_cell_length_a 5.0656
_cell_length_b 5.0656
_cell_length_c 4.4981
_cell_angle_alpha 90.00
_cell_angle_beta 90.00
_cell_angle_gamma 90.00
_symmetry_space_group_name_H-M 'P 4/m m m'
_symmetry_Int_Tables_number 123
_symmetry_space_group_name_Hall '-P 4 2'
loop_
_atom_site_label
_atom_site_type_symbol
_atom_site_fract_x
_atom_site_fract_y
_atom_site_fract_z
Na1 Na 0.0000 0.0000 0.0000
La1 La 0.5000 0.5000 0.5000
Ta1 Ta 0.0000 0.5000 0.5000
Mn1 Mn 0.5000 0.5000 0.0000



# GGA-PBE CaHf2Pd, relaxed
# **ΔE_f**: 0.47 eV per formula unit
# **Calculated volume**: 24.49 Å³/atom
# **Crystal system**: tetragonal
# **DOS(E_F)**: 1.9 states/eV/f.u.
# **Density**: 8.53 g/cm3
# **E above lowest polymorph**: 0.0 meV per atom
data_CaHf2Pd
_cell_length_a 8.1162
_cell_length_b 8.1162
_cell_length_c 5.9494
_cell_angle_alpha 90.00
_cell_angle_beta 90.00
_cell_angle_gamma 90.00
_symmetry_space_group_name_H-M 'I -4 2 d'
_symmetry_Int_Tables_number 122
_symmetry_space_group_name_Hall 'I -4 2bw'
loop_
_atom_site_label
_atom_site_type_symbol
_atom_site_fract_x
_atom_site_fract_y
_atom_site_fract_z
Ca1 Ca 0.0000 0.0000 0.0000
Hf1 Hf 0.1850 0.2500 0.6250
Pd1 Pd 0.0000 0.0000 0.5000